## i
Entry from the Alexandria database: a relaxed structure of Ba8Sr2Ca (GGA-PBE).

```
11
Lattice="6.7160 0.0000 -1.7886 -0.2978 8.0833 -1.1182 -0.4249 1.5747 11.9080" Properties=species:S:1:pos:R:3 pbc="T T T"
Ba 3.7546 3.8769 0.5950
Ba 1.8539 1.7320 6.9613
Ba 0.7530 1.9208 2.8274
Ba 0.0441 6.0763 0.1655
Ba 5.2403 7.7371 6.1737
Ba 4.1394 7.9259 2.0399
Ba 2.2387 5.7811 8.4061
Ba 5.9493 3.5817 8.8357
Sr 1.1482 5.8476 4.3116
Sr 4.8451 3.8103 4.6896
Ca 3.3580 0.0000 -0.8943
```

Output
**N(E_F)**: 16.65 states/eV/f.u.
**Space group**: No. 12
**Total magnetic moment**: 0.00 μB per formula unit


## ii
Entry from the Alexandria database: a relaxed structure of Ba8Sr2Ca (GGA-PBE).

```
11
Lattice="-0.7963 -7.2361 1.1371 8.4938 -6.7493 2.0750 3.1794 -1.7300 10.7566" Properties=species:S:1:pos:R:3 pbc="T T T"
Ba 0.9607 -7.3082 3.6040
Ba 4.6175 -9.7737 10.0140
Ba 3.1102 -4.9000 1.1708
Ba 7.6609 -9.6976 6.6017
Ba 3.2160 -6.0178 7.3670
Ba 4.5872 -9.0854 2.0413
Ba 6.2593 -5.9417 3.9547
Ba 9.9161 -8.4072 10.3647
Sr 3.8314 -2.7345 4.8201
Sr 7.8418 -5.7447 8.0115
Ca -0.3982 -3.6181 0.5685
```

Output
**N(E_F)**: 18.48 states/eV/f.u.
**Space group**: No. 12
**Total magnetic moment**: 0.49 μB per formula unit


Which of them is the least stable? Correct choice: ii.


## i
Entry from the Alexandria database: a relaxed structure of BaSr4Ca4 (GGA-PBE).

```
18
Lattice="-7.3449 3.3136 2.4032 -3.8121 -3.7391 -6.4953 -2.4851 -11.2725 7.9478" Properties=species:S:1:pos:R:3 pbc="T T T"
Ba 0.0000 0.0000 0.0000
Ba -6.8211 -5.8490 1.9278
Sr -5.8598 -11.6332 4.6934
Sr -9.9281 -9.7978 6.0245
Sr -6.8039 -2.0181 -3.3022
Sr -4.6924 0.0530 0.2955
Sr -3.8292 -7.5701 -1.2653
Sr -2.1286 -5.9021 1.6323
Sr -3.4464 -5.4883 5.1822
Sr -6.7230 -4.0101 6.2542
Ca -8.5065 -9.9180 2.3870
Ca -6.4946 -7.9446 5.8150
Ca -8.0797 -1.8924 0.3888
Ca -4.2034 -3.6412 -0.8795
Ca -2.6177 -2.2079 2.8073
Ca -6.0862 -0.6430 3.9422
Ca -2.8116 -9.1770 4.0606
Ca -4.6118 -10.9427 0.9933
```

Output
**N(E_F)**: 13.66 states/eV/f.u.
**Space group**: No. 137
**Total magnetic moment**: 0.00 μB per formula unit


## ii
Entry from the Alexandria database: a relaxed structure of BaSr4Ca4 (GGA-PBE).

```
9
Lattice="5.4854 0.0000 1.8577 2.7427 8.7863 0.9288 -0.0756 0.0000 9.2509" Properties=species:S:1:pos:R:3 pbc="T T T"
Ba 0.0000 0.0000 0.0000
Sr 1.8134 5.8892 3.6729
Sr 6.3391 2.8971 8.3645
Sr 4.5561 2.8971 4.6017
Sr 3.5964 5.8892 7.4357
Ca 2.7427 2.9760 0.9289
Ca 5.4098 5.8103 11.1085
Ca 3.6217 0.0000 7.3610
Ca 4.5309 8.7863 4.6764
```

Output
**N(E_F)**: 10.57 states/eV/f.u.
**Space group**: No. 139
**Total magnetic moment**: 0.00 μB per formula unit


Which of them is the least stable? Correct choice: i.


## i
Entry from the Alexandria database: a relaxed structure of Ba3Sr6Ca (GGA-PBE).

```
20
Lattice="-6.0456 -1.6478 -2.3036 3.8928 -13.7216 -0.4015 -4.0298 -1.4837 11.6375" Properties=species:S:1:pos:R:3 pbc="T T T"
Ba -2.3264 -14.9471 7.1244
Ba -1.0764 -7.6847 -1.3526
Ba -3.8562 -1.9060 1.8080
Ba -4.8824 -9.5720 0.3133
Ba -2.0149 -0.7418 5.8188
Ba -1.3002 -7.2811 8.6191
Sr -6.0489 -4.8948 9.7087
Sr -4.5347 -4.7544 5.6343
Sr -2.7680 -5.8086 1.7518
Sr -3.4146 -11.0445 7.1806
Sr -1.6479 -12.0986 3.2982
Sr -0.1337 -11.9582 -0.7763
Sr -6.6291 -6.4843 2.6939
Sr -5.3292 -5.5886 -1.3584
Sr -8.4682 -5.0396 6.4873
Sr 2.2855 -11.8135 2.4451
Sr -0.8534 -11.2645 10.2908
Sr 0.4464 -10.3688 6.2385
Ca -3.0913 -8.4265 4.4662
Ca 0.0000 0.0000 0.0000
```

Output
**N(E_F)**: 12.82 states/eV/f.u.
**Space group**: No. 58
**Total magnetic moment**: 0.00 μB per formula unit


## ii
Entry from the Alexandria database: a relaxed structure of Ba3Sr6Ca (GGA-PBE).

```
20
Lattice="-0.5612 6.9895 -0.6893 -1.2863 -1.2078 -11.1990 -13.3411 -0.4089 6.7154" Properties=species:S:1:pos:R:3 pbc="T T T"
Ba -6.4614 4.1125 -7.0531
Ba -8.7271 1.2603 1.8801
Ba -11.1668 4.4397 0.0955
Ba -4.0218 0.9331 -5.2685
Ba -13.6539 4.6006 3.7520
Ba -1.5347 0.7722 -8.9250
Sr -2.1465 4.4839 -6.7996
Sr -13.0420 0.8889 1.6266
Sr -2.6637 5.1728 0.6063
Sr -12.5249 0.2000 -5.7793
Sr -10.6223 3.7643 -7.1958
Sr -4.5663 1.6085 2.0228
Sr -6.9260 4.7943 0.2379
Sr -8.2626 0.5786 -5.4110
Sr -4.6466 4.6398 -3.1841
Sr -10.5419 0.7331 -1.9889
Sr -12.9397 3.9260 -3.6704
Sr -2.2488 1.4469 -1.5026
Ca -8.7300 4.2885 -3.4216
Ca -6.4586 1.0843 -1.7514
```

Output
**N(E_F)**: 13.14 states/eV/f.u.
**Space group**: No. 11
**Total magnetic moment**: 0.00 μB per formula unit


Which of them is the least stable? Correct choice: i.